Here is a relaxed structure of Er3Zn3CuIrAu from the Open Quantum Materials Database. Energies are from PBE-GGA.

The structure in extended XYZ format:
```
9
Lattice="7.2848 0.0000 0.0000 -3.6424 6.3088 0.0000 0.0000 0.0000 3.7833" Properties=species:S:1:pos:R:3 pbc="T T T"
Er 5.7097 1.6751 1.8916
Er 2.2382 0.5265 1.8916
Er 2.9792 4.1072 1.8916
Zn 0.8396 5.7629 0.0000
Zn -1.7682 4.1545 0.0000
Zn 0.9286 2.7002 0.0000
Cu 0.0000 4.2059 1.8916
Au 0.0000 0.0000 0.0000
Ir 3.6424 2.1029 0.0000
```

Summary:
- Magnetic moment: 0.01 μB per formula unit
- Calculated volume: 19.32 A^3/atom
- Crystal system: hexagonal
- Energy of formation: -0.619 eV/atom

=====

Here is a relaxed structure of ErTm2Mg3CuAu2 from the Open Quantum Materials Database. Energies are from PBE-GGA.

The structure in extended XYZ format:
```
9
Lattice="3.9787 0.0000 0.0000 0.0000 6.5417 3.7698 0.0000 -6.5417 3.7698" Properties=species:S:1:pos:R:3 pbc="T T T"
Mg 1.9893 4.9609 2.8601
Mg 1.9893 -4.9609 2.8601
Mg 1.9893 0.0000 1.8209
Er 0.0000 0.0000 4.4435
Cu 0.0000 0.0000 0.0051
Au 1.9893 2.1891 3.7669
Au 1.9893 -2.1891 3.7669
Tm 0.0000 -2.6857 1.5477
Tm 0.0000 2.6857 1.5477
```

Summary:
- Final energy: -0.13579 Ha/atom
- Magnetic moment: 0.01 μB per formula unit
- Calculated volume: 21.80 A^3/atom
- Crystal system: orthorhombic

=====

Here is a relaxed structure of Er3Zn3CuNiAu from the Open Quantum Materials Database. Energies are from PBE-GGA.

The structure in extended XYZ format:
```
9
Lattice="-0.9542 -6.4633 -2.9961 6.6015 2.1712 1.8354 -0.4531 -1.5244 3.4329" Properties=species:S:1:pos:R:3 pbc="T T T"
Ni 1.5644 -3.5852 -1.3856
Au 0.0000 0.0000 0.0000
Zn 4.2462 0.8732 0.9481
Zn 5.4954 -1.7004 -0.0298
Zn 2.5072 -1.2938 -0.2436
Er 0.6393 -6.0883 -0.5344
Er 3.3570 -4.1156 0.7002
Er 0.0172 -2.8383 0.8267
Cu 3.8564 -1.4692 1.9413
```

Summary:
- Magnetic moment: 0.00 μB per formula unit
- Calculated volume: 18.81 A^3/atom
- Crystal system: hexagonal
- Energy of formation: -0.522 eV/atom

=====

Here is a relaxed structure of Er3Zn3CuPdAu from the Open Quantum Materials Database. Energies are from PBE-GGA.

The structure in extended XYZ format:
```
9
Lattice="-2.5316 -0.4254 -6.7284 5.2453 -4.4360 2.1608 -2.6574 -2.5759 1.1627" Properties=species:S:1:pos:R:3 pbc="T T T"
Au -1.3287 -1.2879 0.5814
Pd -1.2680 -3.0502 -3.1840
Zn 1.9812 -5.5455 -1.2859
Zn 1.9090 -4.2692 1.3766
Zn 0.0828 -3.3466 -0.7534
Er -0.9557 -1.5607 -5.6417
Er -0.4577 -0.4861 -2.1231
Er 1.5956 -3.2401 -3.5313
Cu 2.6530 -3.0992 -0.8023
```

Summary:
- Magnetic moment: 0.01 μB per formula unit
- Calculated volume: 19.36 A^3/atom
- Crystal system: hexagonal
- Energy of formation: -0.616 eV/atom

=====

Here is a relaxed structure of TbEr2Zn3CuAu2 from the Open Quantum Materials Database. Energies are from PBE-GGA.

The structure in extended XYZ format:
```
9
Lattice="3.9158 0.0000 0.0000 0.0000 6.3151 3.6346 0.0000 -6.3151 3.6346" Properties=species:S:1:pos:R:3 pbc="T T T"
Zn 1.9579 0.0000 5.5637
Zn 1.9579 -4.8326 4.4813
Zn 1.9579 4.8326 4.4813
Er 0.0000 -3.7706 2.1710
Er 0.0000 3.7706 2.1710
Au 1.9579 2.1300 3.6422
Au 1.9579 -2.1300 3.6422
Cu 0.0000 0.0000 7.2540
Tb 0.0000 0.0000 2.9404
```

Summary:
- Magnetic moment: 0.01 μB per formula unit
- Calculated volume: 19.97 A^3/atom
- Crystal system: orthorhombic
- Energy of formation: -0.589 eV/atom

=====

Here is a relaxed structure of Er3Zn3Cu2Au from the Open Quantum Materials Database. Energies are from PBE-GGA.

The structure in extended XYZ format:
```
9
Lattice="-2.0682 2.5404 -6.3572 -4.5980 -0.1050 5.4766 1.1557 3.5388 1.0381" Properties=species:S:1:pos:R:3 pbc="T T T"
Zn -2.8202 1.6918 4.5664
Zn -0.9506 3.6468 -4.1791
Zn -1.1619 2.4049 0.2892
Cu -3.1769 2.5462 2.0510
Cu -2.3336 3.4280 -1.8936
Er -1.9064 -0.0435 2.2706
Er -0.8575 1.0533 -2.6357
Er -3.9024 1.4257 -0.5155
Au 0.0000 0.0000 0.0000
```

Summary:
- Magnetic moment: 0.01 μB per formula unit
- Calculated volume: 19.02 A^3/atom
- Crystal system: hexagonal
- Energy of formation: -0.437 eV/atom

=====

Here is a relaxed structure of Er3Zn3CuAu2 from the Open Quantum Materials Database. Energies are from PBE-GGA.

The structure in extended XYZ format:
```
9
Lattice="3.9035 0.0000 0.0000 0.0000 6.2811 3.6259 0.0000 -6.2811 3.6259" Properties=species:S:1:pos:R:3 pbc="T T T"
Er 0.0000 3.7512 2.1655
Er 0.0000 -3.7512 2.1655
Er 0.0000 0.0000 2.9211
Au 1.9517 -2.0944 3.6262
Au 1.9517 2.0944 3.6262
Zn 1.9517 1.4723 0.8499
Zn 1.9517 -1.4723 0.8499
Zn 1.9517 0.0000 5.5520
Cu 0.0000 0.0000 0.0000
```

Summary:
- Magnetic moment: 0.01 μB per formula unit
- Calculated volume: 19.76 A^3/atom
- Crystal system: hexagonal
- Energy of formation: -0.593 eV/atom

=====

Here is a relaxed structure of Rb2CuAuF6 from the Open Quantum Materials Database. Energies are from PBE-GGA.

The structure in extended XYZ format:
```
10
Lattice="0.4764 1.5679 5.8442 -2.8473 5.3059 -0.7614 -2.4444 -5.2717 -1.7532" Properties=species:S:1:pos:R:3 pbc="T T T"
Rb -1.5767 -0.1334 3.3162
Rb -3.2386 1.7356 0.0134
F -1.6965 4.9186 3.6370
F -1.8519 -0.9361 0.4021
F -2.9633 2.5382 2.9274
F -0.6744 1.9552 1.4458
F -0.3715 2.5215 4.1591
F -1.9994 4.3524 0.9237
Au 0.0000 0.0000 0.0000
Cu -1.1854 3.4369 2.5414
```

Summary:
- Final energy: -0.14255 Ha/atom
- Calculated volume: 15.23 A^3/atom
- Crystal system: tetragonal